Record 1
## Mg2As3 (GGA-PBE)

Data for a relaxed structure of Mg2As3.

Output
Energy relative to the elements, meV/atom: -246
Energy above the most stable polymorph in this dataset, meV per atom: 33.3

Cell lengths 3.999, 3.999, 24.425 Å; angles 90.00, 90.00, 120.00 degrees
Sites, in units of the cell vectors:
Mg1 0.000 0.000 0.115
Mg2 0.000 0.000 0.885
Mg3 0.333 0.667 0.552
Mg4 0.333 0.667 0.782
Mg5 0.667 0.333 0.218
Mg6 0.667 0.333 0.448
As1 0.000 0.000 0.309
As2 0.000 0.000 0.500
As3 0.000 0.000 0.691
As4 0.333 0.667 0.167
As5 0.333 0.667 0.358
As6 0.333 0.667 0.975
As7 0.667 0.333 0.025
As8 0.667 0.333 0.642
As9 0.667 0.333 0.833

---

Record 2
## NbHRhCl2 (GGA-PBE)

Data for a relaxed structure of NbHRhCl2.

Output
Raw total energy, eV/atom: -4.397

Cell lengths 4.859, 4.859, 4.890 Å; angles 90.00, 90.00, 90.00 degrees
Sites, in units of the cell vectors:
Nb1 0.000 0.000 0.000
H1 0.500 0.500 0.500
Rh1 0.000 0.000 0.500
Cl1 0.000 0.500 0.000
Cl2 0.500 0.000 0.000

---

Record 3
## CaY2Co (GGA-PBE)

Data for a relaxed structure of CaY2Co.

Output
Energy relative to the elements, meV/atom: -21
Energy above the most stable polymorph in this dataset, meV per atom: 75.2

Cell lengths 3.870, 3.870, 28.474 Å; angles 90.00, 90.00, 120.00 degrees
Sites, in units of the cell vectors:
Ca1 0.000 0.000 0.000
Ca2 0.333 0.667 0.667
Ca3 0.667 0.333 0.333
Y1 0.000 0.000 0.218
Y2 0.000 0.000 0.782
Y3 0.333 0.667 0.449
Y4 0.333 0.667 0.885
Y5 0.667 0.333 0.115
Y6 0.667 0.333 0.551
Co1 0.000 0.000 0.500
Co2 0.333 0.667 0.167
Co3 0.667 0.333 0.833

---

Record 4
## Sc2CoAu (GGA-PBE)

Data for a relaxed structure of Sc2CoAu.

Output
Energy relative to the elements, meV/atom: -235

Cell lengths 6.472, 6.472, 6.472 Å; angles 90.00, 90.00, 90.00 degrees
Sites, in units of the cell vectors:
Sc1 0.000 0.000 0.000
Sc2 0.000 0.500 0.500
Sc3 0.250 0.250 0.250
Sc4 0.250 0.750 0.750
Sc5 0.500 0.000 0.500
Sc6 0.500 0.500 0.000
Sc7 0.750 0.250 0.750
Sc8 0.750 0.750 0.250
Co1 0.250 0.250 0.750
Co2 0.250 0.750 0.250
Co3 0.750 0.250 0.250
Co4 0.750 0.750 0.750
Au1 0.000 0.000 0.500
Au2 0.000 0.500 0.000
Au3 0.500 0.000 0.000
Au4 0.500 0.500 0.500

---

Record 5
## Na2CaMgF6 (GGA-PBE)

Data for a relaxed structure of Na2CaMgF6.

Output
Formation energy from raw total energies, eV/atom: -3.326

Cell lengths 5.608, 5.836, 9.816 Å; angles 90.00, 124.60, 90.00 degrees
Sites, in units of the cell vectors:
Na1 0.238 0.054 0.254
Na2 0.238 0.446 0.754
Na3 0.762 0.554 0.246
Na4 0.762 0.946 0.746
Ca1 0.500 0.000 0.000
Ca2 0.500 0.500 0.500
Mg1 0.000 0.000 0.500
Mg2 0.000 0.500 0.000
F1 0.107 0.212 0.930
F2 0.107 0.288 0.430
F3 0.233 0.683 0.942
F4 0.233 0.817 0.442
F5 0.353 0.056 0.734
F6 0.353 0.444 0.234
F7 0.647 0.556 0.766
F8 0.647 0.944 0.266
F9 0.767 0.183 0.558
F10 0.767 0.317 0.058
F11 0.893 0.712 0.570
F12 0.893 0.788 0.070

---

Record 6
## ZnInGe2 (GGA-PBE)

Data for a relaxed structure of ZnInGe2.

Output
Energy relative to the elements, meV/atom: 233

Cell lengths 4.963, 4.963, 15.505 Å; angles 90.00, 90.00, 90.00 degrees
Sites, in units of the cell vectors:
Zn1 0.000 0.000 0.000
Zn2 0.000 0.500 0.250
Zn3 0.500 0.000 0.750
Zn4 0.500 0.500 0.500
In1 0.000 0.000 0.500
In2 0.000 0.500 0.750
In3 0.500 0.000 0.250
In4 0.500 0.500 0.000
Ge1 0.188 0.250 0.125
Ge2 0.250 0.688 0.375
Ge3 0.250 0.812 0.875
Ge4 0.312 0.250 0.625
Ge5 0.688 0.750 0.625
Ge6 0.750 0.188 0.875
Ge7 0.750 0.312 0.375
Ge8 0.812 0.750 0.125

---

Record 7
## Pr2Y7Mg2 (GGA-PBE)

Data for a relaxed structure of Pr2Y7Mg2.

Output
Energy relative to the elements, meV/atom: 165

Cell lengths 8.143, 8.143, 5.784 Å; angles 105.03, 105.03, 89.83 degrees
Sites, in units of the cell vectors:
Pr1 0.223 0.777 0.000
Pr2 0.777 0.223 0.000
Y1 0.000 0.000 0.500
Y2 0.018 0.601 0.315
Y3 0.232 0.232 0.155
Y4 0.399 0.982 0.685
Y5 0.601 0.018 0.315
Y6 0.768 0.768 0.845
Y7 0.982 0.399 0.685
Mg1 0.425 0.425 0.722
Mg2 0.575 0.575 0.278

---

Record 8
## SiPOs2 (GGA-PBE)

Data for a relaxed structure of SiPOs2.

Output
Formation energy from raw total energies, eV/atom: 0.159
Energy above the most stable polymorph in this dataset, meV per atom: 323.7

Cell lengths 2.814, 2.814, 7.475 Å; angles 90.00, 90.00, 90.00 degrees
Sites, in units of the cell vectors:
Si1 0.000 0.000 0.000
P1 0.500 0.500 0.667
Os1 0.000 0.000 0.471
Os2 0.500 0.500 0.211

---

Record 9
## Zr2ZnCd (GGA-PBE)

Data for a relaxed structure of Zr2ZnCd.

Output
Energy relative to the elements, meV/atom: -118
Energy above the most stable polymorph in this dataset, meV per atom: 64.7

Cell lengths 11.121, 3.177, 5.151 Å; angles 90.00, 115.97, 90.00 degrees
Sites, in units of the cell vectors:
Zr1 0.000 0.000 0.000
Zr2 0.239 0.000 0.766
Zr3 0.500 0.500 0.000
Zr4 0.739 0.500 0.766
Zn1 0.496 0.000 0.492
Zn2 0.996 0.500 0.492
Cd1 0.273 0.500 0.299
Cd2 0.773 0.000 0.299

---

Record 10
## Li2YCu (GGA-PBE)

Data for a relaxed structure of Li2YCu.

Output
Energy relative to the elements, meV/atom: 120
Energy above the most stable polymorph in this dataset, meV per atom: 141.3

Cell lengths 3.379, 3.379, 6.659 Å; angles 90.00, 90.00, 90.00 degrees
Sites, in units of the cell vectors:
Li1 0.000 0.000 0.179
Li2 0.000 0.000 0.821
Y1 0.500 0.500 0.500
Cu1 0.500 0.500 0.000

---

Record 11
## ReSiTe3 (GGA-PBE)

Data for a relaxed structure of ReSiTe3.

Output
Formation energy from raw total energies, eV/atom: 1.013
Energy above the most stable polymorph in this dataset, meV per atom: 0.0

Cell lengths 5.227, 5.227, 5.227 Å; angles 90.00, 90.00, 90.00 degrees
Sites, in units of the cell vectors:
Re1 0.000 0.000 0.000
Si1 0.500 0.500 0.500
Te1 0.000 0.000 0.500
Te2 0.000 0.500 0.000
Te3 0.500 0.000 0.000

---

Record 12
## Rb2TlAu2 (GGA-PBE)

Data for a relaxed structure of Rb2TlAu2.

Output
Energy relative to the elements, meV/atom: -251
Energy above the most stable polymorph in this dataset, meV per atom: 0.0

Cell lengths 6.814, 6.814, 8.834 Å; angles 101.91, 101.91, 60.40 degrees
Sites, in units of the cell vectors:
Rb1 0.009 0.281 0.137
Rb2 0.281 0.009 0.637
Rb3 0.719 0.991 0.363
Rb4 0.991 0.719 0.863
Tl1 0.392 0.608 0.250
Tl2 0.608 0.392 0.750
Au1 0.212 0.498 0.503
Au2 0.498 0.212 0.003
Au3 0.502 0.788 0.997
Au4 0.788 0.502 0.497